(1)
Ca4AuCl after structural relaxation. Source: the Alexandria database, functional PBE.

Values from the calculation:
DOS at the Fermi energy in states/eV/f.u.: 7.68
ΔE_f (raw) in kcal/mol of atoms: 1.8

```
data_Ca4AuCl
_chemical_formula_sum 'Ca16 Au4 Cl4'
_space_group_name_H-M_alt 'F -4 3 m'
_space_group_IT_number 216
_space_group_name_Hall 'F -4 2 3'
_cell_length_a 9.5981
_cell_length_b 9.5981
_cell_length_c 9.5981
_cell_angle_alpha 90.00
_cell_angle_beta 90.00
_cell_angle_gamma 90.00
loop_
_atom_site_label
_atom_site_type_symbol
_atom_site_fract_x
_atom_site_fract_y
_atom_site_fract_z
Ca1 Ca 0.1242 0.1242 0.3758
Au1 Au 0.2500 0.2500 0.7500
Cl1 Cl 0.0000 0.0000 0.0000
```

(2)
CeYGa2Au5 after structural relaxation. Source: the Alexandria database, functional PBE.

Values from the calculation:
DOS at the Fermi energy in states/eV/f.u.: 11.13
ΔE_f in eV per atom: -0.48

```
data_CeYGa2Au5
_chemical_formula_sum 'Ce1 Y1 Ga2 Au5'
_space_group_name_H-M_alt 'P 4/m m m'
_space_group_IT_number 123
_space_group_name_Hall '-P 4 2'
_cell_length_a 4.4931
_cell_length_b 4.4931
_cell_length_c 9.3632
_cell_angle_alpha 90.00
_cell_angle_beta 90.00
_cell_angle_gamma 90.00
loop_
_atom_site_label
_atom_site_type_symbol
_atom_site_fract_x
_atom_site_fract_y
_atom_site_fract_z
Ce1 Ce 0.0000 0.0000 0.0000
Y1 Y 0.0000 0.0000 0.5000
Ga1 Ga 0.5000 0.5000 0.3697
Au1 Au 0.0000 0.5000 0.2327
Au2 Au 0.5000 0.5000 0.0000
```

(3)
PaTi3 after structural relaxation. Source: the Alexandria database, functional PBE.

Values from the calculation:
DOS at the Fermi energy in states/eV/f.u.: 5.33
Excess energy over the best structure of this formula in the dataset in meV/atom: 3
ΔE_f in eV per atom: 0.05

```
data_PaTi3
_chemical_formula_sum 'Pa4 Ti12'
_space_group_name_H-M_alt 'C m c m'
_space_group_IT_number 63
_space_group_name_Hall '-C 2c 2'
_cell_length_a 6.7005
_cell_length_b 9.3173
_cell_length_c 4.7518
_cell_angle_alpha 90.00
_cell_angle_beta 90.00
_cell_angle_gamma 90.00
loop_
_atom_site_label
_atom_site_type_symbol
_atom_site_fract_x
_atom_site_fract_y
_atom_site_fract_z
Pa1 Pa 0.0000 0.1455 0.2500
Ti1 Ti 0.0000 0.3901 0.7500
Ti2 Ti 0.2446 0.1305 0.7500
```

(4)
LaMgNi2H6 after structural relaxation. Source: the Alexandria database, functional PBE.

Values from the calculation:
DOS at the Fermi energy in states/eV/f.u.: 2.72
E in eV per atom: -4.1399

```
data_LaMgNi2H6
_chemical_formula_sum 'La3 Mg3 Ni6 H18'
_space_group_name_H-M_alt 'R -3 m'
_space_group_IT_number 166
_space_group_name_Hall '-R 3 2"'
_cell_length_a 4.5093
_cell_length_b 4.5093
_cell_length_c 15.9493
_cell_angle_alpha 90.00
_cell_angle_beta 90.00
_cell_angle_gamma 120.00
loop_
_atom_site_label
_atom_site_type_symbol
_atom_site_fract_x
_atom_site_fract_y
_atom_site_fract_z
La1 La 0.0000 0.0000 0.0000
Mg1 Mg 0.0000 0.0000 0.5000
Ni1 Ni 0.0000 0.0000 0.2091
H1 H 0.0053 0.5027 0.9304
```

(5)
ZnCBr2 after structural relaxation. Source: the Alexandria database, functional PBE.

Values from the calculation:
DOS at the Fermi energy in states/eV/f.u.: 4.52
ΔE_f (raw) in kcal/mol of atoms: 36.5
Excess energy over the best structure of this formula in the dataset in meV/atom: 460

```
data_ZnCBr2
_chemical_formula_sum 'Zn4 C4 Br8'
_space_group_name_H-M_alt 'F m -3 m'
_space_group_IT_number 225
_space_group_name_Hall '-F 4 2 3'
_cell_length_a 6.7904
_cell_length_b 6.7904
_cell_length_c 6.7904
_cell_angle_alpha 90.00
_cell_angle_beta 90.00
_cell_angle_gamma 90.00
loop_
_atom_site_label
_atom_site_type_symbol
_atom_site_fract_x
_atom_site_fract_y
_atom_site_fract_z
Zn1 Zn 0.0000 0.0000 0.0000
C1 C 0.0000 0.0000 0.5000
Br1 Br 0.2500 0.2500 0.2500
```

(6)
BaTl3Co after structural relaxation. Source: the Alexandria database, functional PBE.

Values from the calculation:
DOS at the Fermi energy in states/eV/f.u.: 2.66
Excess energy over the best structure of this formula in the dataset in meV/atom: 0
ΔE_f in eV per atom: -0.06

```
data_BaTl3Co
_chemical_formula_sum 'Ba1 Tl3 Co1'
_space_group_name_H-M_alt 'P m -3 m'
_space_group_IT_number 221
_space_group_name_Hall '-P 4 2 3'
_cell_length_a 5.1824
_cell_length_b 5.1824
_cell_length_c 5.1824
_cell_angle_alpha 90.00
_cell_angle_beta 90.00
_cell_angle_gamma 90.00
loop_
_atom_site_label
_atom_site_type_symbol
_atom_site_fract_x
_atom_site_fract_y
_atom_site_fract_z
Ba1 Ba 0.0000 0.0000 0.0000
Tl1 Tl 0.0000 0.5000 0.5000
Co1 Co 0.5000 0.5000 0.5000
```

(7)
Rb3LiNp2O9 after structural relaxation. Source: the Alexandria database, functional PBE.

Values from the calculation:
ΔE_f (raw) in kcal/mol of atoms: -53.2

```
data_Rb3LiNp2O9
_chemical_formula_sum 'Rb3 Li1 Np2 O9'
_space_group_name_H-M_alt 'P -3 m 1'
_space_group_IT_number 164
_space_group_name_Hall '-P 3 2"'
_cell_length_a 6.1126
_cell_length_b 6.1126
_cell_length_c 7.5271
_cell_angle_alpha 90.00
_cell_angle_beta 90.00
_cell_angle_gamma 120.00
loop_
_atom_site_label
_atom_site_type_symbol
_atom_site_fract_x
_atom_site_fract_y
_atom_site_fract_z
Rb1 Rb 0.0000 0.0000 0.0000
Rb2 Rb 0.3333 0.6667 0.6505
Li1 Li 0.0000 0.0000 0.5000
Np1 Np 0.3333 0.6667 0.1635
O1 O 0.0000 0.5000 0.0000
O2 O 0.1817 0.3634 0.3106
```

(8)
Ho3MgGa2 after structural relaxation. Source: the Alexandria database, functional PBE.

Values from the calculation:
DOS at the Fermi energy in states/eV/f.u.: 4.05
ΔE_f in eV per atom: -0.41

```
data_Ho3MgGa2
_chemical_formula_sum 'Ho3 Mg1 Ga2'
_space_group_name_H-M_alt 'P 4/m m m'
_space_group_IT_number 123
_space_group_name_Hall '-P 4 2'
_cell_length_a 3.6109
_cell_length_b 3.6109
_cell_length_c 10.9748
_cell_angle_alpha 90.00
_cell_angle_beta 90.00
_cell_angle_gamma 90.00
loop_
_atom_site_label
_atom_site_type_symbol
_atom_site_fract_x
_atom_site_fract_y
_atom_site_fract_z
Ho1 Ho 0.0000 0.0000 0.0000
Ho2 Ho 0.0000 0.0000 0.3175
Mg1 Mg 0.5000 0.5000 0.5000
Ga1 Ga 0.5000 0.5000 0.1648
```

| no. | ρ (g/cm³) |
| --- | --- |
| 1 | 3.0 |
| 2 | 11.9 |
| 3 | 8.4 |
| 4 | 5.1 |
| 5 | 5.0 |
| 6 | 9.7 |
| 7 | 6.0 |
| 8 | 7.6 |